(1)
Entry from the Alexandria database: an optimized crystal structure of PrY2ErTl2 (PBE).

```
PrY2ErTl2
1.0
-1.625 4.799 -0.833
-3.718 -0.251 5.807
7.861 3.563 5.188
Pr Er Tl Y
2 2 4 4
direct
0.000 0.956 0.454
0.000 0.456 0.546
0.500 0.677 0.307
0.500 0.177 0.693
0.000 0.797 0.131
0.500 0.723 0.636
0.500 0.223 0.364
0.000 0.297 0.869
0.500 0.552 0.953
0.000 0.841 0.817
0.000 0.341 0.183
0.500 0.052 0.047
```

Its total energy is -57.4 eV for the cell shown. The space-group type is No. 26.

(2)
Entry from the Alexandria database: an optimized crystal structure of PrEr2Tl2Zn2 (PBE).

```
PrEr2Tl2Zn2
1.0
-3.116 -2.783 2.384
1.561 -2.908 3.499
-1.775 4.655 7.967
Zn Er Tl Pr
2 2 2 1
direct
0.432 0.432 0.704
0.568 0.568 0.296
0.133 0.133 0.602
0.867 0.867 0.398
0.737 0.737 0.790
0.263 0.263 0.210
0.000 0.000 0.000
```

Its total energy is -22.4 eV for the cell shown. The space-group type is No. 166.

(3)
Entry from the Alexandria database: an optimized crystal structure of PrErTlZn (PBE).

```
PrErTlZn
1.0
3.709 0.000 0.000
0.000 3.709 0.000
0.000 0.000 7.611
Tl Er Pr Zn
1 1 1 1
direct
0.500 0.500 0.126
0.000 0.000 0.380
0.000 0.000 0.836
0.500 0.500 0.585
```

Its total energy is -14.4 eV for the cell shown. The energy above the lowest structure with this stoichiometry is 0.000 eV per atom. The space-group type is No. 99.

(4)
Entry from the Alexandria database: an optimized crystal structure of PrErTlZn (PBE).

```
PrErTlZn
1.0
5.319 0.000 0.000
2.659 4.606 0.000
2.659 1.535 4.343
Tl Pr Er Zn
1 1 1 1
direct
0.000 0.000 0.000
0.750 0.750 0.750
0.250 0.250 0.250
0.500 0.500 0.500
```

Its total energy is -14.2 eV for the cell shown. The energy above the lowest structure with this stoichiometry is 0.034 eV per atom. The space-group type is No. 216.

(5)
Entry from the Alexandria database: an optimized crystal structure of Pr2ErTm2 (PBE).

```
Pr2ErTm2
1.0
3.457 0.000 0.913
1.724 3.096 0.475
-2.012 -3.166 14.616
Tm Er Pr
2 1 2
direct
0.358 0.976 0.308
0.642 0.024 0.692
0.500 0.500 0.500
0.224 0.444 0.108
0.776 0.556 0.892
```

Its total energy is -22.9 eV for the cell shown. The energy above the lowest structure with this stoichiometry is 0.000 eV per atom. The space-group type is No. 12.

(6)
Entry from the Alexandria database: an optimized crystal structure of Pr2ErTm3 (PBE).

```
Pr2ErTm3
1.0
3.492 0.000 0.000
1.746 8.877 0.163
1.746 2.146 12.670
Tm Er Pr
6 2 4
direct
0.402 0.170 0.026
0.737 0.818 0.708
0.263 0.182 0.292
0.039 0.129 0.793
0.961 0.871 0.207
0.598 0.830 0.974
0.563 0.517 0.358
0.437 0.483 0.642
0.819 0.482 0.879
0.181 0.518 0.121
0.346 0.841 0.468
0.654 0.159 0.532
```

Its total energy is -53.6 eV for the cell shown. The space-group type is No. 12.

(7)
Entry from the Alexandria database: an optimized crystal structure of PrErTm2 (PBE).

```
PrErTm2
1.0
-1.074 0.531 3.896
1.466 -3.693 0.908
6.929 3.116 1.485
Pr Er Tm
1 1 2
direct
0.500 0.500 0.500
0.500 0.500 0.000
0.000 0.000 0.237
0.000 0.000 0.763
```

Its total energy is -17.9 eV for the cell shown. The energy above the lowest structure with this stoichiometry is 0.089 eV per atom. The space-group type is No. 123.

(8)
Entry from the Alexandria database: an optimized crystal structure of Pr2ErTm6 (PBE).

```
Pr2ErTm6
1.0
6.320 -0.394 1.557
2.004 9.301 0.423
-0.867 -1.265 9.399
Tm Er Pr
12 2 4
direct
0.733 0.057 0.460
0.267 0.943 0.540
0.997 0.725 0.345
0.813 0.959 0.778
0.313 0.778 0.959
0.687 0.222 0.041
0.003 0.275 0.655
0.187 0.041 0.222
0.767 0.540 0.943
0.233 0.460 0.057
0.503 0.655 0.275
0.497 0.345 0.725
0.250 0.117 0.883
0.750 0.883 0.117
0.624 0.671 0.617
0.376 0.329 0.383
0.876 0.383 0.329
0.124 0.617 0.671
```

Its total energy is -79.8 eV for the cell shown. The energy above the lowest structure with this stoichiometry is 0.042 eV per atom. The space-group type is No. 15.

(9)
Entry from the Alexandria database: an optimized crystal structure of Pr2Er3Tm5 (PBE).

```
Pr2Er3Tm5
1.0
6.719 0.000 0.000
3.360 11.434 2.825
3.360 5.758 10.275
Pr Er Tm
4 6 10
direct
0.126 0.768 0.980
0.374 0.020 0.232
0.626 0.980 0.768
0.874 0.232 0.020
0.626 0.623 0.124
0.750 0.000 0.000
0.874 0.876 0.377
0.374 0.377 0.876
0.126 0.124 0.623
0.250 0.000 0.000
0.998 0.252 0.252
0.002 0.748 0.748
0.876 0.540 0.708
0.376 0.708 0.540
0.502 0.748 0.748
0.250 0.500 0.500
0.624 0.292 0.460
0.498 0.252 0.252
0.124 0.460 0.292
0.750 0.500 0.500
```

Its total energy is -82.6 eV for the cell shown. The energy above the lowest structure with this stoichiometry is 0.232 eV per atom. The space-group type is No. 72.

(10)
Entry from the Alexandria database: an optimized crystal structure of Pr2Er6Tm3 (PBE).

```
Pr2Er6Tm3
1.0
-0.541 -5.939 -1.066
4.659 -3.093 -2.343
3.648 -4.243 10.224
Er Pr Tm
6 2 3
direct
0.415 0.666 0.756
0.918 0.666 0.244
0.082 0.334 0.756
0.585 0.334 0.244
0.749 0.000 0.755
0.251 0.000 0.245
0.833 0.333 0.500
0.167 0.667 0.500
0.000 0.000 0.000
0.665 0.669 0.000
0.335 0.331 0.000
```

Its total energy is -48.3 eV for the cell shown. The energy above the lowest structure with this stoichiometry is 0.000 eV per atom. The space-group type is No. 12.

(11)
Entry from the Alexandria database: an optimized crystal structure of Pr5Er2Tm12 (PBE).

```
Pr5Er2Tm12
1.0
7.016 0.000 0.000
-3.508 8.672 2.875
0.000 0.523 10.320
Tm Pr Er
12 5 2
direct
0.498 0.997 0.676
0.024 0.049 0.755
0.596 0.685 0.867
0.976 0.951 0.245
0.910 0.315 0.133
0.415 0.325 0.480
0.404 0.315 0.133
0.090 0.675 0.520
0.502 0.003 0.324
0.585 0.675 0.520
0.910 0.325 0.480
0.090 0.685 0.867
0.000 0.000 0.500
0.813 0.626 0.181
0.187 0.374 0.819
0.318 0.637 0.210
0.682 0.363 0.790
0.728 0.000 0.000
0.272 0.000 0.000
```

Its total energy is -83.2 eV for the cell shown. The energy above the lowest structure with this stoichiometry is 0.157 eV per atom. The space-group type is No. 12.

(12)
Entry from the Alexandria database: an optimized crystal structure of Pr7Er2Tm2 (PBE).

```
Pr7Er2Tm2
1.0
-5.494 2.537 -1.077
-2.938 -3.952 -6.495
-5.186 -4.005 4.847
Pr Tm Er
7 2 2
direct
0.183 0.585 0.049
0.000 0.000 0.000
0.799 0.427 0.427
0.183 0.049 0.585
0.817 0.951 0.415
0.817 0.415 0.951
0.201 0.573 0.573
0.500 0.214 0.786
0.500 0.786 0.214
0.411 0.226 0.226
0.589 0.774 0.774
```

Its total energy is -50.0 eV for the cell shown. The space-group type is No. 12.